VASP calculation (PBE) on a relaxed structure of ZnRuPt4.

Cell and atoms, written as CIF:
```
data_ZnRuPt4
_chemical_formula_sum 'Zn4 Ru4 Pt16'
_symmetry_space_group_name_H-M 'F -4 3 m'
_symmetry_Int_Tables_number 216
_symmetry_space_group_name_Hall 'F -4 2 3'
_cell_length_a 7.3940
_cell_length_b 7.3940
_cell_length_c 7.3940
_cell_angle_alpha 90.00
_cell_angle_beta 90.00
_cell_angle_gamma 90.00
loop_
_atom_site_label
_atom_site_type_symbol
_atom_site_fract_x
_atom_site_fract_y
_atom_site_fract_z
_atom_site_occupancy
Zn1 Zn 0.0000 0.0000 0.0000 1
Ru1 Ru 0.2500 0.2500 0.7500 1
Pt1 Pt 0.1250 0.1250 0.3750 1
```

Electronic total energy = -132.488 eV per cell
Total magnetization = 9.2 μB per cell
ΔE_f = 265 meV per atom